# 1
Here is crystalline BaV3I at its relaxed geometry from Alexandria. Energies are from PBE.

Properties
crystal system = cubic
DOS at the Fermi energy = 15.391 states/eV/f.u.
energy = -3.745 eV per atom
magnetic moment = 7.83 μB per formula unit
ΔE_f (raw) = 2420 meV per atom

Geometry as extended XYZ:
```
5
Lattice="-4.8635 0.2711 1.7494 0.8513 -4.1263 3.0062 1.5521 3.1126 3.8328" Properties=species:S:1:pos:R:3 pbc="T T T"
V -2.4318 0.1356 0.8747
V 0.7761 1.5563 1.9164
I -1.2301 -0.3713 4.2942
V 0.4256 -2.0631 1.5031
Ba 0.0000 0.0000 0.0000
```

***

# 2
Here is crystalline BaVZn2I at its relaxed geometry from Alexandria. Energies are from PBE.

Properties
crystal system = tetragonal
DOS at the Fermi energy = 9.189 states/eV/f.u.
energy = -1.940 eV per atom
magnetic moment = 4.94 μB per formula unit
ΔE_f (raw) = 1088 meV per atom

Geometry as extended XYZ:
```
5
Lattice="6.4514 0.0000 0.0000 0.0000 6.1398 0.0000 0.0000 0.0000 6.4514" Properties=species:S:1:pos:R:3 pbc="T T T"
I 3.2257 3.0699 3.2257
Zn 0.0000 0.0000 3.2257
V 0.0000 3.0699 0.0000
Ba 0.0000 0.0000 0.0000
Zn 3.2257 0.0000 0.0000
```

***

# 3
Here is crystalline BaWI2 at its relaxed geometry from Alexandria. Energies are from PBE.

Properties
crystal system = tetragonal
DOS at the Fermi energy = 3.868 states/eV/f.u.
energy = -3.946 eV per atom
magnetic moment = 0.14 μB per formula unit
ΔE_f (raw) = 548 meV per atom

Geometry as extended XYZ:
```
8
Lattice="6.2979 0.0000 0.0000 0.0000 6.2979 0.0000 3.1490 3.1490 7.8755" Properties=species:S:1:pos:R:3 pbc="T T T"
I 7.8724 8.5097 5.9067
W 6.2979 3.1490 3.9378
Ba 3.1490 6.2979 3.9378
I 4.7235 4.0862 5.9067
I 5.3607 1.5745 1.9689
Ba 3.1490 3.1490 0.0000
I 0.9372 4.7235 1.9689
W 0.0000 0.0000 0.0000
```

***

# 4
Here is crystalline BaWI3 at its relaxed geometry from Alexandria. Energies are from PBE.

Properties
crystal system = cubic
DOS at the Fermi energy = 8.881 states/eV/f.u.
energy = -3.312 eV per atom
magnetic moment = 5.00 μB per formula unit
ΔE_f (raw) = 594 meV per atom

Geometry as extended XYZ:
```
5
Lattice="6.7103 0.0000 0.0000 0.0000 6.7103 0.0000 0.0000 0.0000 6.7103" Properties=species:S:1:pos:R:3 pbc="T T T"
I 0.0000 3.3552 0.0000
Ba 0.0000 0.0000 0.0000
W 3.3552 3.3552 3.3552
I 3.3552 0.0000 0.0000
I 0.0000 0.0000 3.3552
```